Compound: Mn2SbBr
Source: Alexandria via LeMat-Bulk
Functional: GGA-PBEsol
Structure: relaxed

a = 3.296 Å, b = 3.296 Å, c = 6.821 Å
α = 90.00°, β = 90.00°, γ = 90.00°
Atoms (fractional coordinates):
Mn1 0.000 0.000 0.220
Mn2 0.000 0.000 0.780
Sb1 0.500 0.500 0.000
Br1 0.500 0.500 0.500

Output
The crystal system is tetragonal. The value obtained for the polymorph energy (0 for the lowest one) is 276.7 meV per atom. For the uncorrected formation energy, the calculation gives 0.38 eV/atom.


Compound: MnSbBr2
Source: Alexandria via LeMat-Bulk
Functional: GGA-PBEsol
Structure: relaxed

a = 5.029 Å, b = 5.029 Å, c = 5.029 Å
α = 60.00°, β = 60.00°, γ = 60.00°
Atoms (fractional coordinates):
Mn1 0.000 0.000 0.000
Sb1 0.500 0.500 0.500
Br1 0.250 0.250 0.250
Br2 0.750 0.750 0.750

Output
The crystal system is cubic. The value obtained for the polymorph energy (0 for the lowest one) is 538.4 meV per atom. For the uncorrected formation energy, the calculation gives 0.39 eV/atom.